1.
Here is a relaxed structure of PrGaMo from OQMD. Energies are from PBE-GGA.

extended XYZ file:
```
3
Lattice="0.000 3.471 3.471 3.471 0.000 3.471 3.471 3.471 0.000" Properties=species:S:1:pos:R:3 pbc="T T T"
Pr 0.000 0.000 0.000
Ga 5.207 5.207 5.207
Mo 1.736 1.736 1.736
```

Results
Space group: F-43m
Total moment, μB per atom: 1.129
Calculated volume, Å³ per atom: 27.887
ΔE to the lowest computed polymorph, eV per atom: 0.6950
Energy, eV/cell: -15.21


2.
Here is a relaxed structure of RbPd3Pb5 from OQMD. Energies are from PBE-GGA.

extended XYZ file:
```
9
Lattice="5.800 0.000 0.000 -2.900 5.023 0.000 0.000 0.000 8.491" Properties=species:S:1:pos:R:3 pbc="T T T"
Rb 0.000 0.000 0.000
Pd -1.450 2.511 4.246
Pd 2.900 0.000 4.246
Pd 1.450 2.511 4.246
Pb 0.000 0.000 4.246
Pb 0.000 3.348 1.864
Pb 0.000 3.348 6.627
Pb 2.900 1.674 1.864
Pb 2.900 1.674 6.627
```

Results
Space group: P6/mmm
Calculated volume, Å³ per atom: 27.483
Energy, eV/cell: -36.80


3.
Here is a relaxed structure of TbZrPO from OQMD. Energies are from PBE-GGA.

extended XYZ file:
```
8
Lattice="4.151 0.000 0.000 0.000 4.151 0.000 0.000 0.000 8.562" Properties=species:S:1:pos:R:3 pbc="T T T"
Tb 1.038 1.038 0.997
Tb 3.113 3.113 7.565
Zr 1.038 3.113 4.281
Zr 3.113 1.038 4.281
P 1.038 1.038 5.881
P 3.113 3.113 2.681
O 1.038 3.113 0.000
O 3.113 1.038 0.000
```

Results
Space group: P4/nmm
Total moment, μB per atom: 0.003
Calculated volume, Å³ per atom: 18.440
ΔE to the lowest computed polymorph, eV per atom: 0.0000
Energy, eV/cell: -63.28


4.
Here is a relaxed structure of NaThAgTe3 from OQMD. Energies are from PBE-GGA.

extended XYZ file:
```
12
Lattice="2.222 -7.348 0.000 2.222 7.348 0.000 0.000 0.000 11.581" Properties=species:S:1:pos:R:3 pbc="T T T"
Na 2.222 3.940 8.686
Na 2.222 -3.940 2.895
Th 0.000 0.000 0.000
Th 0.000 0.000 5.791
Ag 2.222 0.390 2.895
Ag 2.222 -0.390 8.686
Te 2.222 5.979 2.895
Te 2.222 2.114 0.695
Te 2.222 2.114 5.095
Te 2.222 -2.114 6.486
Te 2.222 -2.114 10.886
Te 2.222 -5.979 8.686
```

Results
Space group: Cmcm
Total moment, μB per atom: 0.000
Calculated volume, Å³ per atom: 31.516
Energy, eV/cell: -52.96


5.
Here is a relaxed structure of BeNiSnMo from OQMD. Energies are from PBE-GGA.

extended XYZ file:
```
4
Lattice="0.000 3.058 3.058 3.058 0.000 3.058 3.058 3.058 0.000" Properties=species:S:1:pos:R:3 pbc="T T T"
Be 0.000 0.000 0.000
Ni 4.586 4.586 4.586
Sn 3.058 3.058 3.058
Mo 1.529 1.529 1.529
```

Results
Space group: F-43m
Total moment, μB per atom: 0.006
Calculated volume, Å³ per atom: 14.292
ΔE to the lowest computed polymorph, eV per atom: 0.0000
Energy, eV/cell: -23.02


6.
Here is a relaxed structure of SrTcB from OQMD. Energies are from PBE-GGA.

extended XYZ file:
```
3
Lattice="0.000 3.012 3.012 3.012 0.000 3.012 3.012 3.012 0.000" Properties=species:S:1:pos:R:3 pbc="T T T"
Sr 0.000 0.000 0.000
Tc 4.518 4.518 4.518
B 3.012 3.012 3.012
```

Results
Space group: F-43m
Total moment, μB per atom: 0.001
Calculated volume, Å³ per atom: 18.212
ΔE to the lowest computed polymorph, eV per atom: 0.3539
Energy, eV/cell: -14.19


7.
Here is a relaxed structure of Tb5Tl3 from OQMD. Energies are from PBE-GGA.

extended XYZ file:
```
16
Lattice="-4.063 4.063 7.082 4.063 -4.063 7.082 4.063 4.063 -7.082" Properties=species:S:1:pos:R:3 pbc="T T T"
Tb 0.000 0.000 0.000
Tb 5.361 1.298 -2.160
Tb 1.298 2.765 -2.160
Tb 5.361 1.298 2.160
Tb 1.298 2.765 2.160
Tb 0.000 0.000 7.082
Tb 2.765 1.298 4.922
Tb -1.298 2.765 4.922
Tb 2.765 1.298 9.242
Tb -1.298 2.765 9.242
Tl 2.957 1.106 0.000
Tl 0.000 0.000 3.541
Tl 2.957 -1.106 7.082
Tl 1.106 5.170 0.000
Tl 0.000 0.000 10.623
Tl 1.106 2.957 7.082
```

Results
Space group: I4/mcm
Total moment, μB per atom: 0.000
Calculated volume, Å³ per atom: 29.229
ΔE to the lowest computed polymorph, eV per atom: 0.0251
Energy, eV/cell: -65.04


8.
Here is a relaxed structure of RbNbAuS3 from OQMD. Energies are from PBE-GGA.

extended XYZ file:
```
12
Lattice="1.815 -7.757 0.000 1.815 7.757 0.000 0.000 0.000 9.819" Properties=species:S:1:pos:R:3 pbc="T T T"
Rb 1.815 3.899 7.364
Rb 1.815 -3.899 2.455
Nb 1.815 0.000 0.000
Nb 1.815 0.000 4.910
Au 1.815 6.945 2.455
Au 1.815 -6.945 7.364
S 1.815 5.968 0.282
S 1.815 5.968 4.627
S 1.815 1.035 2.455
S 1.815 -1.035 7.364
S 1.815 -5.968 5.192
S 1.815 -5.968 9.537
```

Results
Space group: Cmcm
Total moment, μB per atom: 0.002
Calculated volume, Å³ per atom: 23.044
Energy, eV/cell: -61.52


9.
Here is a relaxed structure of AlZnBiH6 from OQMD. Energies are from PBE-GGA.

extended XYZ file:
```
9
Lattice="0.000 3.543 3.543 3.543 0.000 3.543 3.543 3.543 0.000" Properties=species:S:1:pos:R:3 pbc="T T T"
Al 0.000 0.000 0.000
Zn 5.315 5.315 5.315
Bi 3.543 3.543 3.543
H 1.772 1.772 0.037
H 1.772 0.037 1.772
H 3.506 1.772 1.772
H 0.037 1.772 1.772
H 1.772 3.506 1.772
H 1.772 1.772 3.506
```

Results
Space group: F-43m
Calculated volume, Å³ per atom: 9.884
Energy, eV/cell: -23.56


10.
Here is a relaxed structure of Rb2TlCuF6 from OQMD. Energies are from PBE-GGA.

extended XYZ file:
```
10
Lattice="-3.034 3.034 4.287 3.034 -3.034 4.287 3.034 3.034 -4.287" Properties=species:S:1:pos:R:3 pbc="T T T"
Rb 3.034 0.000 2.143
Rb 0.000 3.034 2.143
Tl 0.000 0.000 0.000
Cu 0.000 0.000 4.287
F 4.392 1.538 0.000
F 0.000 0.000 2.279
F 1.538 1.676 0.000
F 1.496 1.358 4.287
F 0.000 0.000 6.295
F -1.358 1.496 4.287
```

Results
Space group: I4/m
Calculated volume, Å³ per atom: 15.783
ΔE to the lowest computed polymorph, eV per atom: 0.0000
Energy, eV/cell: -40.34


11.
Here is a relaxed structure of Sr2LiAs2Au from OQMD. Energies are from PBE-GGA.

extended XYZ file:
```
6
Lattice="4.514 0.000 0.000 -2.257 3.909 0.000 0.000 0.000 8.383" Properties=species:S:1:pos:R:3 pbc="T T T"
Sr 0.000 0.000 2.076
Sr 0.000 0.000 6.308
Li 0.000 2.606 0.000
As 0.000 2.606 4.192
As 2.257 1.303 0.000
Au 2.257 1.303 4.192
```

Results
Space group: P-6m2
Calculated volume, Å³ per atom: 24.657
Energy, eV/cell: -23.70


12.
Here is a relaxed structure of Er3In2SnPdPt2 from OQMD. Energies are from PBE-GGA.

extended XYZ file:
```
9
Lattice="3.809 0.000 0.000 0.000 6.632 3.837 0.000 -6.632 3.837" Properties=species:S:1:pos:R:3 pbc="T T T"
Er 0.000 0.000 0.000
Er 0.000 -2.725 2.980
Er 0.000 2.725 2.980
In 1.905 -1.725 5.551
In 1.905 1.725 5.551
Sn 1.905 0.000 2.544
Pd 0.000 0.000 4.499
Pt 1.905 -4.426 4.547
Pt 1.905 4.426 4.547
```

Results
Space group: Amm2
Total moment, μB per atom: 0.001
Calculated volume, Å³ per atom: 21.541
Energy, eV/cell: -49.41